# 1
Li12CdCu2: relaxed, PBE.

a b c (Å): 5.1343 5.1343 22.9158
angles (deg): 90.00 90.00 118.49
Sites, in units of the cell vectors:
Li  0.0112  0.5112  0.1488
Li  0.0138  0.5138  0.6322
Li  0.0640  0.9360  0.9347
Li  0.0703  0.9297  0.4472
Li  0.2500  0.2500  0.2044
Li  0.2500  0.2500  0.3132
Li  0.2500  0.2500  0.6868
Li  0.2500  0.2500  0.7956
Li  0.4297  0.5703  0.4472
Li  0.4360  0.5640  0.9347
Li  0.4862  0.9862  0.6322
Li  0.4888  0.9888  0.1488
Li  0.5112  0.0112  0.8512
Li  0.5138  0.0138  0.3678
Li  0.5640  0.4360  0.0653
Li  0.5703  0.4297  0.5528
Li  0.7500  0.7500  0.2044
Li  0.7500  0.7500  0.3132
Li  0.7500  0.7500  0.6868
Li  0.7500  0.7500  0.7956
Li  0.9297  0.0703  0.5528
Li  0.9360  0.0640  0.0653
Li  0.9862  0.4862  0.3678
Li  0.9888  0.4888  0.8512
Cd  0.2500  0.7500  0.0373
Cd  0.7500  0.2500  0.9627
Cu  0.2500  0.7500  0.2598
Cu  0.2500  0.7500  0.7424
Cu  0.7500  0.2500  0.2576
Cu  0.7500  0.2500  0.7402

Values from the calculation:
- SG = No. 67
- formation energy from the elements (eV/atom) = 0.04
- theoretical density (g/cm³) = 2.0



# 2
LiCd2Cu: relaxed, PBE.

a b c (Å): 3.2505 3.2505 6.5299
angles (deg): 90.00 90.00 90.00
Sites, in units of the cell vectors:
Li  0.0000  0.0000  0.0000
Cd  0.0000  0.0000  0.5665
Cd  0.5000  0.5000  0.2463
Cu  0.5000  0.5000  0.8060

Values from the calculation:
- SG = No. 99
- formation energy from the elements (eV/atom) = -0.07
- theoretical density (g/cm³) = 7.1



# 3
LiCd2Cu: relaxed, PBE.

a b c (Å): 2.8908 4.4419 5.5184
angles (deg): 90.00 104.53 90.00
Sites, in units of the cell vectors:
Li  0.0000  0.0000  0.0000
Cd  0.2851  0.0000  0.5430
Cd  0.6109  0.5000  0.2114
Cu  0.8913  0.5000  0.7484

Values from the calculation:
- SG = No. 6
- formation energy from the elements (eV/atom) = -0.08
- theoretical density (g/cm³) = 7.1



# 4
LiCd4Cu: relaxed, PBE.

a b c (Å): 5.6688 5.6688 5.6688
angles (deg): 60.00 60.00 60.00
Sites, in units of the cell vectors:
Li  0.0000  0.0000  0.0000
Cd  0.1254  0.6249  0.6249
Cd  0.6249  0.1254  0.6249
Cd  0.6249  0.6249  0.1254
Cd  0.6249  0.6249  0.6249
Cu  0.2500  0.2500  0.2500

Values from the calculation:
- SG = No. 216
- formation energy from the elements (eV/atom) = 0.14
- theoretical density (g/cm³) = 6.7



# 5
LiCd6Cu6: relaxed, PBE.

a b c (Å): 7.0028 7.0028 7.0028
angles (deg): 135.78 99.07 97.21
Sites, in units of the cell vectors:
Li  0.0000  0.0000  0.0000
Cd  0.1692  0.5000  0.6692
Cd  0.3285  0.3285  0.0000
Cd  0.3349  0.0000  0.3349
Cd  0.6651  0.0000  0.6651
Cd  0.6715  0.6715  0.0000
Cd  0.8308  0.5000  0.3308
Cu  0.0000  0.0000  0.5000
Cu  0.0000  0.5000  0.0000
Cu  0.2433  0.7433  0.5000
Cu  0.5000  0.0000  0.0000
Cu  0.5000  0.5000  0.5000
Cu  0.7567  0.2567  0.5000

Values from the calculation:
- SG = No. 71
- formation energy from the elements (eV/atom) = -0.03
- theoretical density (g/cm³) = 8.0



# 6
Li15Cd4Cu: relaxed, PBE.

a b c (Å): 4.0889 4.0889 21.3776
angles (deg): 90.00 90.00 90.00
Sites, in units of the cell vectors:
Li  0.0000  0.0000  0.0000
Li  0.0000  0.0000  0.1911
Li  0.0000  0.0000  0.3972
Li  0.0000  0.0000  0.6028
Li  0.0000  0.0000  0.8089
Li  0.0000  0.5000  0.0889
Li  0.0000  0.5000  0.2944
Li  0.0000  0.5000  0.5000
Li  0.0000  0.5000  0.7056
Li  0.0000  0.5000  0.9111
Li  0.5000  0.0000  0.0889
Li  0.5000  0.0000  0.2944
Li  0.5000  0.0000  0.5000
Li  0.5000  0.0000  0.7056
Li  0.5000  0.0000  0.9111
Cd  0.5000  0.5000  0.1924
Cd  0.5000  0.5000  0.3973
Cd  0.5000  0.5000  0.6027
Cd  0.5000  0.5000  0.8076
Cu  0.5000  0.5000  0.0000

Values from the calculation:
- SG = No. 123
- formation energy from the elements (eV/atom) = -0.12
- theoretical density (g/cm³) = 2.9



# 7
Li2CdCu: relaxed, PBE.

a b c (Å): 3.7917 3.7917 19.3325
angles (deg): 90.00 90.00 90.00
Sites, in units of the cell vectors:
Li  0.2360  0.2500  0.1250
Li  0.2500  0.7360  0.3750
Li  0.2500  0.7640  0.8750
Li  0.2640  0.2500  0.6250
Li  0.7360  0.7500  0.6250
Li  0.7500  0.2360  0.8750
Li  0.7500  0.2640  0.3750
Li  0.7640  0.7500  0.1250
Cd  0.0000  0.0000  0.5000
Cd  0.0000  0.5000  0.7500
Cd  0.5000  0.0000  0.2500
Cd  0.5000  0.5000  0.0000
Cu  0.0000  0.0000  0.0000
Cu  0.0000  0.5000  0.2500
Cu  0.5000  0.0000  0.7500
Cu  0.5000  0.5000  0.5000

Values from the calculation:
- SG = No. 122
- formation energy from the elements (eV/atom) = 0.07
- theoretical density (g/cm³) = 4.5



# 8
LiCdCu: relaxed, PBE.

a b c (Å): 4.4547 4.4547 5.4144
angles (deg): 90.00 90.00 120.00
Sites, in units of the cell vectors:
Li  0.3333  0.6667  0.1734
Li  0.6667  0.3333  0.8266
Cd  0.3333  0.6667  0.6800
Cd  0.6667  0.3333  0.3200
Cu  0.0000  0.0000  0.0000
Cu  0.0000  0.0000  0.5000

Values from the calculation:
- SG = No. 164
- formation energy from the elements (eV/atom) = -0.09
- theoretical density (g/cm³) = 6.5



How do the records compare in raw total energy? In the order shown, they have -2.101 -2.033 -2.037 -1.471 -2.493 -1.947 -2.142 -2.394 eV per atom.